1.
# Pr3Hg2Ir

A relaxed Pr3Hg2Ir crystal (PBE, Alexandria via LeMat-Bulk).

Properties
M_tot = 0.00 Bohr magnetons per cell
Calculated formation energy = -44.28 kJ/mol of atoms
Energy above the lowest structure with this stoichiometry = 44 meV/atom
Volume = 182 Å³ per cell
VASP energy = -26.557 eV/cell

CIF file:
```
data_Pr3Hg2Ir
_chemical_formula_sum 'Pr3 Hg2 Ir1'
_cell_length_a 8.2797
_cell_length_b 8.2797
_cell_length_c 8.2797
_cell_angle_alpha 151.62
_cell_angle_beta 137.31
_cell_angle_gamma 52.06
_space_group_name_H-M_alt 'P 1'
_space_group_IT_number 1
loop_
_space_group_symop_operation_xyz
'x,y,z'
loop_
_atom_site_label
_atom_site_fract_x
_atom_site_fract_y
_atom_site_fract_z
Pr1 0.0000 0.0000 0.0000
Pr2 0.3671 0.3671 0.0000
Pr3 0.6329 0.6329 0.0000
Hg1 0.1906 0.6906 0.5000
Hg2 0.8094 0.3094 0.5000
Ir1 0.5000 0.0000 0.5000
```



2.
# TlP2I

A relaxed TlP2I crystal (PBE, Alexandria via LeMat-Bulk).

Properties
M_tot = 0.00 Bohr magnetons per cell
Energy above the lowest structure with this stoichiometry = 0 meV/atom
Volume = 248 Å³ per cell
VASP energy = -23.274 eV/cell

CIF file:
```
data_TlP2I
_chemical_formula_sum 'Tl2 P4 I2'
_cell_length_a 8.5604
_cell_length_b 8.5604
_cell_length_c 8.5604
_cell_angle_alpha 140.84
_cell_angle_beta 140.84
_cell_angle_gamma 56.58
_space_group_name_H-M_alt 'P 1'
_space_group_IT_number 1
loop_
_space_group_symop_operation_xyz
'x,y,z'
loop_
_atom_site_label
_atom_site_fract_x
_atom_site_fract_y
_atom_site_fract_z
Tl1 0.0000 0.0000 0.0000
Tl2 0.7500 0.2500 0.5000
P1 0.1280 0.6250 0.0030
P2 0.3750 0.3780 0.5030
P3 0.6220 0.1250 0.9970
P4 0.8750 0.8720 0.4970
I1 0.2500 0.7500 0.5000
I2 0.5000 0.5000 0.0000
```



3.
# Tb2PrHo5Mg

A relaxed Tb2PrHo5Mg crystal (PBE, Alexandria via LeMat-Bulk).

Properties
M_tot = 0.00 Bohr magnetons per cell
Calculated formation energy = 10.32 kJ/mol of atoms
Volume = 572 Å³ per cell
VASP energy = -75.122 eV/cell

CIF file:
```
data_Tb2PrHo5Mg
_chemical_formula_sum 'Tb4 Pr2 Ho10 Mg2'
_cell_length_a 10.3323
_cell_length_b 10.3323
_cell_length_c 10.5589
_cell_angle_alpha 90.00
_cell_angle_beta 90.00
_cell_angle_gamma 149.49
_space_group_name_H-M_alt 'P 1'
_space_group_IT_number 1
loop_
_space_group_symop_operation_xyz
'x,y,z'
loop_
_atom_site_label
_atom_site_fract_x
_atom_site_fract_y
_atom_site_fract_z
Tb1 0.1144 0.8856 0.5000
Tb2 0.1145 0.8855 0.9197
Tb3 0.8855 0.1145 0.4197
Tb4 0.8856 0.1144 0.0000
Pr1 0.2076 0.7924 0.2096
Pr2 0.7924 0.2076 0.7096
Ho1 0.0139 0.9861 0.2098
Ho2 0.2907 0.7093 0.5062
Ho3 0.2918 0.7082 0.9127
Ho4 0.3872 0.6128 0.2097
Ho5 0.4993 0.5007 0.9586
Ho6 0.5007 0.4993 0.4586
Ho7 0.6128 0.3872 0.7097
Ho8 0.7082 0.2918 0.4127
Ho9 0.7093 0.2907 0.0062
Ho10 0.9861 0.0139 0.7098
Mg1 0.4061 0.5939 0.7074
Mg2 0.5939 0.4061 0.2074
```